Entry 1:
# ReB3O | Alexandria | PBEsol | relaxed
data_ReB3O
_space_group_name_H-M_alt 'P m -3 m'
_space_group_IT_number 221
_space_group_name_Hall '-P 4 2 3'
_cell_length_a 3.4517
_cell_length_b 3.4517
_cell_length_c 3.4517
_cell_angle_alpha 90.00
_cell_angle_beta 90.00
_cell_angle_gamma 90.00
loop_
_atom_site_label
_atom_site_type_symbol
_atom_site_fract_x
_atom_site_fract_y
_atom_site_fract_z
Re1 Re 0.0000 0.0000 0.0000
B1 B 0.0000 0.5000 0.5000
O1 O 0.5000 0.5000 0.5000
# - Formation energy without anion corrections: 24.6 kcal/mol of atoms
# - DOS(E_F): 2.70 states/eV/cell

=====

Entry 2:
# B2RhO | Alexandria | PBEsol | relaxed
data_B2RhO
_space_group_name_H-M_alt 'F m -3 m'
_space_group_IT_number 225
_space_group_name_Hall '-F 4 2 3'
_cell_length_a 5.2346
_cell_length_b 5.2346
_cell_length_c 5.2346
_cell_angle_alpha 90.00
_cell_angle_beta 90.00
_cell_angle_gamma 90.00
loop_
_atom_site_label
_atom_site_type_symbol
_atom_site_fract_x
_atom_site_fract_y
_atom_site_fract_z
B1 B 0.2500 0.2500 0.2500
Rh1 Rh 0.0000 0.0000 0.0000
O1 O 0.0000 0.0000 0.5000
# - Formation energy without anion corrections: 29.1 kcal/mol of atoms
# - DOS(E_F): 7.37 states/eV/cell

=====

Entry 3:
# BRhO2 | Alexandria | PBEsol | relaxed
data_BRhO2
_space_group_name_H-M_alt 'R -3 m'
_space_group_IT_number 166
_space_group_name_Hall '-R 3 2"'
_cell_length_a 2.5324
_cell_length_b 2.5324
_cell_length_c 17.3195
_cell_angle_alpha 90.00
_cell_angle_beta 90.00
_cell_angle_gamma 120.00
loop_
_atom_site_label
_atom_site_type_symbol
_atom_site_fract_x
_atom_site_fract_y
_atom_site_fract_z
B1 B 0.0000 0.0000 0.0000
Rh1 Rh 0.0000 0.0000 0.5000
O1 O 0.0000 0.0000 0.3834
# - Formation energy without anion corrections: -24.6 kcal/mol of atoms
# - DOS(E_F): 5.33 states/eV/cell

=====

Entry 4:
# Sc2BRuO | Alexandria | PBEsol | relaxed
data_Sc2BRuO
_space_group_name_H-M_alt 'P 4/m m m'
_space_group_IT_number 123
_space_group_name_Hall '-P 4 2'
_cell_length_a 4.7522
_cell_length_b 4.7522
_cell_length_c 3.0522
_cell_angle_alpha 90.00
_cell_angle_beta 90.00
_cell_angle_gamma 90.00
loop_
_atom_site_label
_atom_site_type_symbol
_atom_site_fract_x
_atom_site_fract_y
_atom_site_fract_z
Sc1 Sc 0.0000 0.5000 0.0000
B1 B 0.0000 0.0000 0.0000
Ru1 Ru 0.5000 0.5000 0.5000
O1 O 0.0000 0.0000 0.5000
# - Formation energy without anion corrections: -2.2 kcal/mol of atoms
# - DOS(E_F): 2.50 states/eV/cell

=====

Entry 5:
# BS2O | Alexandria | PBEsol | relaxed
data_BS2O
_space_group_name_H-M_alt 'R -3 m'
_space_group_IT_number 166
_space_group_name_Hall '-R 3 2"'
_cell_length_a 3.6804
_cell_length_b 3.6804
_cell_length_c 17.1155
_cell_angle_alpha 90.00
_cell_angle_beta 90.00
_cell_angle_gamma 120.00
loop_
_atom_site_label
_atom_site_type_symbol
_atom_site_fract_x
_atom_site_fract_y
_atom_site_fract_z
B1 B 0.0000 0.0000 0.0000
S1 S 0.0000 0.0000 0.0978
O1 O 0.0000 0.0000 0.5000
# - Formation energy without anion corrections: 17.2 kcal/mol of atoms
# - DOS(E_F): 8.33 states/eV/cell

=====

Entry 6:
# BSO2 | Alexandria | PBEsol | relaxed
data_BSO2
_space_group_name_H-M_alt 'F m -3 m'
_space_group_IT_number 225
_space_group_name_Hall '-F 4 2 3'
_cell_length_a 5.1889
_cell_length_b 5.1889
_cell_length_c 5.1889
_cell_angle_alpha 90.00
_cell_angle_beta 90.00
_cell_angle_gamma 90.00
loop_
_atom_site_label
_atom_site_type_symbol
_atom_site_fract_x
_atom_site_fract_y
_atom_site_fract_z
B1 B 0.0000 0.0000 0.0000
S1 S 0.0000 0.0000 0.5000
O1 O 0.2500 0.2500 0.2500
# - Formation energy without anion corrections: 31.6 kcal/mol of atoms
# - DOS(E_F): 7.54 states/eV/cell